DFT (PBE-GGA) results for Li2SeClO3 after structural relaxation.

a = 6.2201 Å, b = 6.2201 Å, c = 18.1944 Å
α = 90.00°, β = 90.00°, γ = 120.00°
Space group R-3m (No. 166, hexagonal axes)
Inequivalent atoms, fractional coordinates:
Li  0.0000  0.0000  0.0000 [3 per cell]
Li  0.0000  0.5000  0.5000 [9 per cell]
Se  0.0000  0.0000  0.4000 [6 per cell]
Cl  0.0000  0.0000  0.2459 [6 per cell]
O  0.0319  0.5160  0.2371 [18 per cell]

Calculated values
Crystal system: trigonal
Magnetic moment in μB per formula unit: 0.000
ΔE_f (raw) in eV/atom: -1.13
Volume in Å³/atom: 14.5